VHg2Te2: relaxed, GGA-PBE.

a b c (Å): 6.886 6.886 6.969
angles (deg): 90.00 90.00 90.00
Fractional positions:
V 0.000 0.000 0.000
V 0.500 0.500 0.000
Hg 0.171 0.329 0.500
Hg 0.329 0.829 0.500
Hg 0.671 0.171 0.500
Hg 0.829 0.671 0.500
Te 0.152 0.652 0.000
Te 0.348 0.152 0.000
Te 0.652 0.848 0.000
Te 0.848 0.348 0.000

Results
Symmetry: P4/mbm
Uncorrected formation energy in eV per atom: 0.12

=====

Hg2TeW: relaxed, GGA-PBE.

a b c (Å): 7.363 7.363 7.363
angles (deg): 155.26 141.32 46.46
Fractional positions:
Hg 0.000 0.000 0.000
Hg 0.654 0.154 0.500
Te 0.339 0.339 0.000
W 0.183 0.683 0.500

Results
Symmetry: Imm2
Uncorrected formation energy in eV per atom: 0.52

=====

Hg2TeW: relaxed, GGA-PBE.

a b c (Å): 2.927 2.927 11.330
angles (deg): 90.00 90.00 90.00
Fractional positions:
Hg 0.000 0.000 0.192
Hg 0.000 0.000 0.808
Te 0.500 0.500 0.500
W 0.500 0.500 0.000

Results
Symmetry: P4/mmm
Uncorrected formation energy in eV per atom: 0.75

=====

HgTe2W: relaxed, GGA-PBE.

a b c (Å): 7.754 7.754 7.754
angles (deg): 122.88 122.88 85.08
Fractional positions:
Hg 0.000 0.000 0.000
Hg 0.750 0.250 0.500
Te 0.228 0.625 0.103
Te 0.375 0.478 0.603
Te 0.522 0.125 0.897
Te 0.875 0.772 0.397
W 0.250 0.750 0.500
W 0.500 0.500 0.000

Results
Symmetry: I-42d
Uncorrected formation energy in eV per atom: 0.54

=====

HgTeW: relaxed, GGA-PBE.

a b c (Å): 3.307 3.307 7.279
angles (deg): 90.00 90.00 120.00
Fractional positions:
Hg 0.000 0.000 0.000
Te 0.333 0.667 0.432
W 0.667 0.333 0.689

Results
Symmetry: P3m1
ΔE to the lowest computed polymorph in meV/atom: 0
Uncorrected formation energy in eV per atom: 0.49

=====

Hg2TeW: relaxed, GGA-PBE.

a b c (Å): 3.215 3.215 9.355
angles (deg): 90.00 90.00 90.00
Fractional positions:
Hg 0.000 0.000 0.000
Hg 0.500 0.500 0.274
Te 0.000 0.000 0.623
W 0.500 0.500 0.795

Results
Symmetry: P4mm
Uncorrected formation energy in eV per atom: 0.42

=====

Hg2TeW: relaxed, GGA-PBE.

a b c (Å): 4.974 4.974 4.974
angles (deg): 60.00 60.00 60.00
Fractional positions:
Hg 0.000 0.000 0.000
Hg 0.250 0.250 0.250
Te 0.500 0.500 0.500
W 0.750 0.750 0.750

Results
Symmetry: F-43m
Uncorrected formation energy in eV per atom: 1.00

=====

HgTe2W: relaxed, GGA-PBE.

a b c (Å): 3.480 5.041 5.158
angles (deg): 90.00 90.00 90.00
Fractional positions:
Hg 0.000 0.000 0.000
Te 0.000 0.500 0.500
Te 0.500 0.500 0.000
W 0.500 0.000 0.500

Results
Symmetry: Pmmm
Uncorrected formation energy in eV per atom: 1.05

=====

Hg2TeW: relaxed, GGA-PBE.

a b c (Å): 7.968 7.968 7.968
angles (deg): 95.98 95.98 142.34
Fractional positions:
Hg 0.375 0.124 0.249
Hg 0.874 0.625 0.749
Hg 0.875 0.126 0.751
Hg 0.876 0.125 0.251
Te 0.250 0.750 0.500
Te 0.500 0.500 0.000
W 0.000 0.000 0.000
W 0.750 0.250 0.500

Results
Symmetry: I-42d
Uncorrected formation energy in eV per atom: 0.72

=====

HgTe2W: relaxed, GGA-PBE.

a b c (Å): 3.186 3.186 10.176
angles (deg): 90.00 90.00 90.00
Fractional positions:
Hg 0.000 0.000 0.000
Te 0.000 0.000 0.649
Te 0.500 0.500 0.299
W 0.500 0.500 0.810

Results
Symmetry: P4mm
Uncorrected formation energy in eV per atom: 0.45

=====

HgTeW: relaxed, GGA-PBE.

a b c (Å): 4.992 4.992 2.911
angles (deg): 90.00 90.00 120.00
Fractional positions:
Hg 0.000 0.000 0.000
Te 0.333 0.667 0.500
W 0.667 0.333 0.500

Results
Symmetry: P-6m2
ΔE to the lowest computed polymorph in meV/atom: 433
Uncorrected formation energy in eV per atom: 0.92

=====

Hg2TeW: relaxed, GGA-PBE.

a b c (Å): 10.784 10.784 10.784
angles (deg): 17.47 17.47 17.47
Fractional positions:
Hg 0.000 0.000 0.000
Hg 0.242 0.242 0.242
Te 0.465 0.465 0.465
W 0.739 0.739 0.739

Results
Symmetry: R3m
Uncorrected formation energy in eV per atom: 0.36

=====

HgTe2W: relaxed, GGA-PBE.

a b c (Å): 5.675 5.675 7.203
angles (deg): 113.70 113.70 35.41
Fractional positions:
Hg 0.000 0.000 0.000
Te 0.619 0.619 0.724
Te 0.778 0.778 0.283
W 0.287 0.287 0.003

Results
Symmetry: Cm
Uncorrected formation energy in eV per atom: 0.32

=====

HgTeW: relaxed, GGA-PBE.

a b c (Å): 8.634 8.392 3.076
angles (deg): 84.06 75.18 20.76
Fractional positions:
Hg 0.000 0.000 0.000
Te 0.719 0.719 0.281
W 0.351 0.351 0.649

Results
Symmetry: Fmm2
ΔE to the lowest computed polymorph in meV/atom: 300
Uncorrected formation energy in eV per atom: 0.79

=====

HgTe3W: relaxed, GGA-PBE.

a b c (Å): 5.361 5.361 5.361
angles (deg): 90.00 90.00 90.00
Fractional positions:
Hg 0.000 0.000 0.000
Te 0.000 0.500 0.500
Te 0.500 0.000 0.500
Te 0.500 0.500 0.000
W 0.500 0.500 0.500

Results
Symmetry: Pm-3m
ΔE to the lowest computed polymorph in meV/atom: 0
Uncorrected formation energy in eV per atom: 0.46

=====

Hg2TeW: relaxed, GGA-PBE.

a b c (Å): 3.221 4.691 5.971
angles (deg): 90.00 90.00 90.00
Fractional positions:
Hg 0.000 0.000 0.000
Hg 0.500 0.500 0.000
Te 0.000 0.500 0.500
W 0.500 0.000 0.500

Results
Symmetry: Pmmm
Uncorrected formation energy in eV per atom: 0.90

=====

HgTe2W: relaxed, GGA-PBE.

a b c (Å): 11.283 11.283 11.283
angles (deg): 16.62 16.62 16.62
Fractional positions:
Hg 0.000 0.000 0.000
Te 0.540 0.540 0.540
Te 0.759 0.759 0.759
W 0.264 0.264 0.264

Results
Symmetry: R3m
Uncorrected formation energy in eV per atom: 0.41

=====

HgTeW: relaxed, GGA-PBE.

a b c (Å): 4.636 4.636 4.636
angles (deg): 60.00 60.00 60.00
Fractional positions:
Hg 0.000 0.000 0.000
Te 0.500 0.500 0.500
W 0.750 0.750 0.750

Results
Symmetry: F-43m
ΔE to the lowest computed polymorph in meV/atom: 417
Uncorrected formation energy in eV per atom: 0.91

=====

Hg2TeW: relaxed, GGA-PBE.

a b c (Å): 6.052 6.052 6.052
angles (deg): 140.59 140.59 56.95
Fractional positions:
Hg 0.250 0.750 0.500
Hg 0.750 0.250 0.500
Te 0.000 0.000 0.000
W 0.500 0.500 0.000

Results
Symmetry: I4/mmm
Uncorrected formation energy in eV per atom: 0.97

=====

HgTe2W: relaxed, GGA-PBE.

a b c (Å): 5.721 5.721 5.721
angles (deg): 134.58 134.58 66.19
Fractional positions:
Hg 0.000 0.000 0.000
Te 0.250 0.750 0.500
Te 0.500 0.500 0.000
W 0.750 0.250 0.500

Results
Symmetry: I-4m2
Uncorrected formation energy in eV per atom: 1.03

=====

Hg2TeW: relaxed, GGA-PBE.

a b c (Å): 5.670 5.670 2.944
angles (deg): 90.00 90.00 114.40
Fractional positions:
Hg 0.000 0.500 0.000
Hg 0.500 0.000 0.000
Te 0.000 0.000 0.500
W 0.500 0.500 0.500

Results
Symmetry: Cmmm
Uncorrected formation energy in eV per atom: 0.88

=====

HgTe2W: relaxed, GGA-PBE.

a b c (Å): 5.124 5.124 5.124
angles (deg): 60.00 60.00 60.00
Fractional positions:
Hg 0.000 0.000 0.000
Te 0.500 0.500 0.500
Te 0.750 0.750 0.750
W 0.250 0.250 0.250

Results
Symmetry: F-43m
Uncorrected formation energy in eV per atom: 1.12

=====

HgTe4W: relaxed, GGA-PBE.

a b c (Å): 6.325 6.325 6.325
angles (deg): 60.00 60.00 60.00
Fractional positions:
Hg 0.000 0.000 0.000
Te 0.129 0.624 0.624
Te 0.624 0.129 0.624
Te 0.624 0.624 0.129
Te 0.624 0.624 0.624
W 0.250 0.250 0.250

Results
Symmetry: F-43m
Uncorrected formation energy in eV per atom: 1.20

=====

Hg2TeW: relaxed, GGA-PBE.

a b c (Å): 5.049 5.049 8.602
angles (deg): 121.66 121.66 37.56
Fractional positions:
Hg 0.000 0.000 0.000
Hg 0.668 0.668 0.336
Te 0.093 0.093 0.668
W 0.375 0.375 0.668

Results
Symmetry: Cm
Uncorrected formation energy in eV per atom: 0.49